Material: NaBe2SbS
Method: DFT, PBE
State: relaxed

Output
uncorrected formation energy: 618 meV/atom
N(E_F): 0.252 states/eV per atom

```
NaBe2SbS
1.0
4.5187 0.0000 0.0000
0.0000 4.5187 0.0000
0.0000 0.0000 5.6958
Na Be Sb S
1 2 1 1
Direct
0.0000 0.0000 0.0000
0.0000 0.5000 0.5000
0.5000 0.0000 0.5000
0.0000 0.0000 0.5000
0.5000 0.5000 0.0000
```

***

Material: Nd2MnAl
Method: DFT, PBE
State: relaxed

Output
N(E_F): 1.014 states/eV per atom

```
Nd2MnAl
1.0
3.7105 0.0000 0.0000
0.0000 3.7105 0.0000
0.0000 0.0000 7.3641
Nd Mn Al
2 1 1
Direct
0.0000 0.0000 0.2442
0.0000 0.0000 0.7558
0.5000 0.5000 0.0000
0.5000 0.5000 0.5000
```

***

Material: RbBaBi3
Method: DFT, PBE
State: relaxed

Output
N(E_F): 0.718 states/eV per atom

```
RbBaBi3
1.0
6.1542 0.0000 0.0000
0.0000 6.1542 0.0000
0.0000 0.0000 6.1542
Rb Ba Bi
1 1 3
Direct
0.0000 0.0000 0.0000
0.5000 0.5000 0.5000
0.0000 0.0000 0.5000
0.0000 0.5000 0.0000
0.5000 0.0000 0.0000
```

***

Material: MgTeH2
Method: DFT, PBE
State: relaxed

```
MgTeH2
1.0
3.0319 -3.0332 0.0000
3.0319 3.0332 0.0000
-3.0297 0.0000 3.8097
Mg Te H
1 1 2
Direct
0.0000 0.0000 0.0000
0.5006 0.4994 0.0000
0.2455 0.2451 0.4929
0.7549 0.7545 0.5071
```

***

Material: IrBr3Cl
Method: DFT, PBE
State: relaxed

Output
uncorrected formation energy: 1459 meV/atom
N(E_F): 1.128 states/eV per atom

```
IrBr3Cl
1.0
5.2507 0.0000 0.0000
0.0000 5.2507 0.0000
0.0000 0.0000 5.2507
Ir Br Cl
1 3 1
Direct
0.0000 0.0000 0.0000
0.0000 0.5000 0.5000
0.5000 0.0000 0.5000
0.5000 0.5000 0.0000
0.5000 0.5000 0.5000
```

***

Material: HfCuH3
Method: DFT, PBE
State: relaxed

Output
N(E_F): 0.135 states/eV per atom

```
HfCuH3
1.0
5.4894 0.0000 0.0000
0.0000 4.3313 0.0000
0.0000 0.0000 7.1300
Hf Cu H
4 4 12
Direct
0.2401 0.2500 0.0879
0.2599 0.7500 0.5879
0.7401 0.2500 0.4121
0.7599 0.7500 0.9121
0.0136 0.2500 0.7367
0.4864 0.7500 0.2367
0.5136 0.2500 0.7633
0.9864 0.7500 0.2633
0.0983 0.5414 0.8636
0.0983 0.9586 0.8636
0.0989 0.2500 0.5181
0.4011 0.7500 0.0181
0.4017 0.0414 0.3636
0.4017 0.4586 0.3636
0.5983 0.5414 0.6364
0.5983 0.9586 0.6364
0.5989 0.2500 0.9819
0.9011 0.7500 0.4819
0.9017 0.0414 0.1364
0.9017 0.4586 0.1364
```

***

Material: PuClO
Method: DFT, PBE
State: relaxed

Output
uncorrected formation energy: -2434 meV/atom
N(E_F): 2.329 states/eV per atom

```
PuClO
1.0
3.8344 0.0000 0.0000
-1.9172 3.3207 0.0000
0.0000 0.0000 4.5991
Pu Cl O
1 1 1
Direct
0.0000 0.0000 0.0000
0.6667 0.3333 0.4988
0.3333 0.6667 0.9988
```

***

Material: Fe2Pb
Method: DFT, PBE
State: relaxed

Output
N(E_F): 0.744 states/eV per atom

```
Fe2Pb
1.0
3.0100 0.0000 0.0000
0.0000 7.2298 0.0000
0.0000 0.0000 4.8070
Fe Pb
4 2
Direct
0.2434 0.1359 0.0000
0.2566 0.6359 0.5000
0.7434 0.3641 0.5000
0.7566 0.8641 0.0000
0.0000 0.5000 0.0000
0.5000 0.0000 0.5000
```

***

Material: CoRe2Tc
Method: DFT, PBE
State: relaxed

Output
N(E_F): 1.080 states/eV per atom

```
CoRe2Tc
1.0
1.3617 0.7862 8.7211
-1.3617 0.7862 8.7211
0.0000 -1.5723 8.7211
Co Re Tc
1 2 1
Direct
0.0000 0.0000 0.0000
0.2538 0.2538 0.2538
0.4995 0.4995 0.4995
0.7474 0.7474 0.7474
```

***

Material: TbH2Pt
Method: DFT, PBE
State: relaxed

Output
N(E_F): 0.376 states/eV per atom

```
TbH2Pt
1.0
2.0545 1.1862 3.7276
-2.0545 1.1862 3.7276
0.0000 -2.3723 3.7276
Tb H Pt
1 2 1
Direct
0.0000 0.0000 0.0000
0.3503 0.3503 0.3503
0.6497 0.6497 0.6497
0.5000 0.5000 0.5000
```

***

Raw total energy? In order: -2.786; -5.620; -2.475; -2.909; -1.687; -4.935; -9.480; -6.204; -10.469; -5.023 eV/atom.